# 1
# Al2FeRu2, relaxed, DFT PBE
# * crystal system: tetragonal
# * DOS(E_F): 1.864 states/eV per atom
# * uncorrected energy: -6.96 eV/atom
# * DFT formation energy: -30 kJ/mol of formula units
data_Al2FeRu2
_symmetry_space_group_name_H-M 'P 1'
_symmetry_Int_Tables_number 1
_cell_length_a 6.766
_cell_length_b 6.766
_cell_length_c 2.982
_cell_angle_alpha 90.00
_cell_angle_beta 90.00
_cell_angle_gamma 90.00
loop_
_symmetry_equiv_pos_as_xyz
'x,y,z'
loop_
_atom_site_label
_atom_site_type_symbol
_atom_site_fract_x
_atom_site_fract_y
_atom_site_fract_z
Ru1 Ru 0.164 0.664 0.500
Ru2 Ru 0.664 0.836 0.500
Ru3 Ru 0.836 0.336 0.500
Ru4 Ru 0.336 0.164 0.500
Fe1 Fe 0.000 0.000 0.000
Fe2 Fe 0.500 0.500 0.000
Al1 Al 0.364 0.864 0.000
Al2 Al 0.864 0.636 0.000
Al3 Al 0.636 0.136 0.000
Al4 Al 0.136 0.364 0.000

# 2
# Al2FeRu, relaxed, DFT PBE
# * crystal system: monoclinic
# * DOS(E_F): 0.753 states/eV per atom
# * uncorrected energy: -6.69 eV/atom
# * DFT formation energy: -148 kJ/mol of formula units
data_Al2FeRu
_symmetry_space_group_name_H-M 'P 1'
_symmetry_Int_Tables_number 1
_cell_length_a 4.883
_cell_length_b 4.883
_cell_length_c 4.184
_cell_angle_alpha 70.44
_cell_angle_beta 70.44
_cell_angle_gamma 34.72
loop_
_symmetry_equiv_pos_as_xyz
'x,y,z'
loop_
_atom_site_label
_atom_site_type_symbol
_atom_site_fract_x
_atom_site_fract_y
_atom_site_fract_z
Ru1 Ru 0.242 0.242 0.229
Fe1 Fe 0.504 0.504 0.525
Al1 Al 0.990 0.990 0.034
Al2 Al 0.764 0.764 0.712

# 3
# Al6FeRu5, relaxed, DFT PBE
# * crystal system: monoclinic
# * DOS(E_F): 0.717 states/eV per atom
# * uncorrected energy: -7.07 eV/atom
# * DFT formation energy: -723 kJ/mol of formula units
data_Al6FeRu5
_symmetry_space_group_name_H-M 'P 1'
_symmetry_Int_Tables_number 1
_cell_length_a 4.224
_cell_length_b 6.054
_cell_length_c 7.336
_cell_angle_alpha 114.37
_cell_angle_beta 106.82
_cell_angle_gamma 90.00
loop_
_symmetry_equiv_pos_as_xyz
'x,y,z'
loop_
_atom_site_label
_atom_site_type_symbol
_atom_site_fract_x
_atom_site_fract_y
_atom_site_fract_z
Ru1 Ru 0.654 0.155 0.310
Ru2 Ru 0.331 0.331 0.661
Ru3 Ru 0.000 0.500 0.000
Ru4 Ru 0.669 0.669 0.339
Ru5 Ru 0.346 0.845 0.690
Al1 Al 0.830 0.572 0.659
Al2 Al 0.830 0.087 0.659
Al3 Al 0.500 0.734 0.000
Al4 Al 0.500 0.266 0.000
Al5 Al 0.170 0.913 0.341
Al6 Al 0.170 0.428 0.341
Fe1 Fe 0.000 0.000 0.000

The records above give, respectively, V values of 136.5, 53.2, 162.0 Å³ per cell.